First-principles (PBE) data for a geometry-optimized PtS2ClF structure, as listed in Alexandria via LeMat-Bulk.

The structure in POSCAR format:
```
PtS2ClF
1.0
-2.7230 0.4494 3.7184
-3.1919 -2.6837 -2.0131
2.0947 -4.0051 2.0179
S Cl Pt F
2 1 1 1
Direct
0.0000 0.5000 0.0000 S
0.5000 0.0000 0.0000 S
0.0000 0.0000 0.5000 Cl
0.0000 0.0000 0.0000 Pt
0.5000 0.5000 0.5000 F
```

Computed properties:
* uncorrected formation energy: 0.417 eV/atom